Ca5Cr: relaxed, PBE-GGA.

Cell: 7.8986 7.8986 5.4378 Å, 90.00 90.00 140.37°
Closest atoms and distances in Å follow each position.
Positions (direct):
Ca: 0.3421 0.6579 0.5000  10 Ca 3.56-3.91, 2 Cr 3.59
Ca: 0.1532 0.8468 0.0000  2 Cr 3.51, 10 Ca 3.55-3.93
Ca: 0.0000 0.0000 0.5000  8 Ca 3.55-3.56, 4 Cr 3.82
Ca: 0.8468 0.1532 0.0000  2 Cr 3.51, 10 Ca 3.55-3.93
Ca: 0.6579 0.3421 0.5000  10 Ca 3.56-3.91, 2 Cr 3.59
Cr: 0.5000 0.5000 0.0000  12 Ca 3.51-3.82

The theoretical density is 1.937 Mg/m³. The value obtained for the energy above the most stable polymorph in this dataset is 31 meV per atom.

***

CaCr: relaxed, PBE-GGA.

Cell: 5.7815 13.9093 9.4493 Å, 90.00 90.00 90.00°
Closest atoms and distances in Å follow each position.
Positions (direct):
Ca: 0.0000 0.0000 0.6674  8 Cr 3.06-3.41, 3 Ca 3.16-3.29
Ca: 0.0000 0.0000 0.3326  8 Cr 3.06-3.41, 3 Ca 3.16-3.29
Ca: 0.2500 0.7500 0.5826  8 Cr 3.06-3.41, 3 Ca 3.16-3.29
Ca: 0.2500 0.7500 0.9174  8 Cr 3.06-3.41, 3 Ca 3.16-3.29
Ca: 0.0000 0.5000 0.1674  8 Cr 3.06-3.41, 3 Ca 3.16-3.29
Ca: 0.0000 0.5000 0.8326  8 Cr 3.06-3.41, 3 Ca 3.16-3.29
Ca: 0.2500 0.2500 0.0826  8 Cr 3.06-3.41, 3 Ca 3.16-3.29
Ca: 0.2500 0.2500 0.4174  8 Cr 3.06-3.41, 3 Ca 3.16-3.29
Ca: 0.5000 0.0000 0.1674  8 Cr 3.06-3.41, 3 Ca 3.16-3.29
Ca: 0.5000 0.0000 0.8326  8 Cr 3.06-3.41, 3 Ca 3.16-3.29
Ca: 0.7500 0.7500 0.0826  8 Cr 3.06-3.41, 3 Ca 3.16-3.29
Ca: 0.7500 0.7500 0.4174  8 Cr 3.06-3.41, 3 Ca 3.16-3.29
Ca: 0.5000 0.5000 0.6674  8 Cr 3.06-3.41, 3 Ca 3.16-3.29
Ca: 0.5000 0.5000 0.3326  8 Cr 3.06-3.41, 3 Ca 3.16-3.29
Ca: 0.7500 0.2500 0.5826  8 Cr 3.06-3.41, 3 Ca 3.16-3.29
Ca: 0.7500 0.2500 0.9174  8 Cr 3.06-3.41, 3 Ca 3.16-3.29
Cr: 0.0000 0.0643 0.0000  1 Cr 1.79
Cr: 0.0000 0.9357 0.0000  1 Cr 1.79
Cr: 0.2500 0.6857 0.2500  1 Cr 1.79
Cr: 0.2500 0.8143 0.2500  1 Cr 1.79
Cr: 0.0000 0.5643 0.5000  1 Cr 1.79
Cr: 0.0000 0.4357 0.5000  1 Cr 1.79
Cr: 0.2500 0.1857 0.7500  1 Cr 1.79
Cr: 0.2500 0.3143 0.7500  1 Cr 1.79
Cr: 0.5000 0.0643 0.5000  1 Cr 1.79
Cr: 0.5000 0.9357 0.5000  1 Cr 1.79
Cr: 0.7500 0.6857 0.7500  1 Cr 1.79
Cr: 0.7500 0.8143 0.7500  1 Cr 1.79
Cr: 0.5000 0.5643 0.0000  1 Cr 1.79
Cr: 0.5000 0.4357 0.0000  1 Cr 1.79
Cr: 0.7500 0.1857 0.2500  1 Cr 1.79
Cr: 0.7500 0.3143 0.2500  1 Cr 1.79

The theoretical density is 3.219 Mg/m³. The value obtained for the energy above the most stable polymorph in this dataset is 294 meV per atom.

***

CaCr2: relaxed, PBE-GGA.

Cell: 7.1158 7.1158 7.1158 Å, 90.00 90.00 90.00°
Closest atoms and distances in Å follow each position.
Positions (direct):
Cr: 0.6134 0.6134 0.3866  1 Cr 2.80, 3 Ca 2.98
Cr: 0.3866 0.3866 0.6134  1 Cr 2.80, 3 Ca 2.98
Cr: 0.1134 0.8866 0.6134  1 Cr 2.80, 3 Ca 2.98
Cr: 0.8866 0.1134 0.3866  1 Cr 2.80, 3 Ca 2.98
Cr: 0.3866 0.1134 0.1134  1 Cr 2.80, 3 Ca 2.98
Cr: 0.6134 0.8866 0.8866  1 Cr 2.80, 3 Ca 2.98
Cr: 0.8866 0.3866 0.8866  1 Cr 2.80, 3 Ca 2.98
Cr: 0.1134 0.6134 0.1134  1 Cr 2.80, 3 Ca 2.98
Ca: 0.0000 0.0000 0.0000  6 Cr 2.98
Ca: 0.5000 0.5000 0.0000  6 Cr 2.98
Ca: 0.5000 0.0000 0.5000  6 Cr 2.98
Ca: 0.0000 0.5000 0.5000  6 Cr 2.98

The theoretical density is 2.656 Mg/m³. The value obtained for the energy above the most stable polymorph in this dataset is 1267 meV per atom.

***

CaCr: relaxed, PBE-GGA.

Cell: 3.6488 5.2591 16.3233 Å, 90.00 90.00 90.00°
Closest atoms and distances in Å follow each position.
Positions (direct):
Ca: 0.0000 0.0000 0.6851  5 Cr 3.43-3.46, 8 Ca 3.53-3.84
Ca: 0.0000 0.0000 0.3149  5 Cr 3.43-3.46, 8 Ca 3.53-3.84
Ca: 0.5000 0.5000 0.1851  5 Cr 3.43-3.46, 8 Ca 3.53-3.84
Ca: 0.5000 0.5000 0.8149  5 Cr 3.43-3.46, 8 Ca 3.53-3.84
Ca: 0.5000 0.0000 0.5000  8 Cr 3.14-3.20
Ca: 0.0000 0.5000 0.0000  8 Cr 3.14-3.20
Cr: 0.0000 0.0000 0.8952  2 Cr 2.50
Cr: 0.0000 0.0000 0.1048  2 Cr 2.50
Cr: 0.5000 0.5000 0.3952  2 Cr 2.50
Cr: 0.5000 0.5000 0.6048  2 Cr 2.50
Cr: 0.0000 0.5000 0.5000  4 Cr 2.50
Cr: 0.5000 0.0000 0.0000  4 Cr 2.50

The theoretical density is 2.929 Mg/m³. The value obtained for the energy above the most stable polymorph in this dataset is 108 meV per atom.

***

Look up the theoretical density of the third one. 2.656 Mg/m³

***

Copy entry 2 word for word.
CaCr: relaxed, PBE-GGA.

Cell: 5.7815 13.9093 9.4493 Å, 90.00 90.00 90.00°
Closest atoms and distances in Å follow each position.
Positions (direct):
Ca: 0.0000 0.0000 0.6674  8 Cr 3.06-3.41, 3 Ca 3.16-3.29
Ca: 0.0000 0.0000 0.3326  8 Cr 3.06-3.41, 3 Ca 3.16-3.29
Ca: 0.2500 0.7500 0.5826  8 Cr 3.06-3.41, 3 Ca 3.16-3.29
Ca: 0.2500 0.7500 0.9174  8 Cr 3.06-3.41, 3 Ca 3.16-3.29
Ca: 0.0000 0.5000 0.1674  8 Cr 3.06-3.41, 3 Ca 3.16-3.29
Ca: 0.0000 0.5000 0.8326  8 Cr 3.06-3.41, 3 Ca 3.16-3.29
Ca: 0.2500 0.2500 0.0826  8 Cr 3.06-3.41, 3 Ca 3.16-3.29
Ca: 0.2500 0.2500 0.4174  8 Cr 3.06-3.41, 3 Ca 3.16-3.29
Ca: 0.5000 0.0000 0.1674  8 Cr 3.06-3.41, 3 Ca 3.16-3.29
Ca: 0.5000 0.0000 0.8326  8 Cr 3.06-3.41, 3 Ca 3.16-3.29
Ca: 0.7500 0.7500 0.0826  8 Cr 3.06-3.41, 3 Ca 3.16-3.29
Ca: 0.7500 0.7500 0.4174  8 Cr 3.06-3.41, 3 Ca 3.16-3.29
Ca: 0.5000 0.5000 0.6674  8 Cr 3.06-3.41, 3 Ca 3.16-3.29
Ca: 0.5000 0.5000 0.3326  8 Cr 3.06-3.41, 3 Ca 3.16-3.29
Ca: 0.7500 0.2500 0.5826  8 Cr 3.06-3.41, 3 Ca 3.16-3.29
Ca: 0.7500 0.2500 0.9174  8 Cr 3.06-3.41, 3 Ca 3.16-3.29
Cr: 0.0000 0.0643 0.0000  1 Cr 1.79
Cr: 0.0000 0.9357 0.0000  1 Cr 1.79
Cr: 0.2500 0.6857 0.2500  1 Cr 1.79
Cr: 0.2500 0.8143 0.2500  1 Cr 1.79
Cr: 0.0000 0.5643 0.5000  1 Cr 1.79
Cr: 0.0000 0.4357 0.5000  1 Cr 1.79
Cr: 0.2500 0.1857 0.7500  1 Cr 1.79
Cr: 0.2500 0.3143 0.7500  1 Cr 1.79
Cr: 0.5000 0.0643 0.5000  1 Cr 1.79
Cr: 0.5000 0.9357 0.5000  1 Cr 1.79
Cr: 0.7500 0.6857 0.7500  1 Cr 1.79
Cr: 0.7500 0.8143 0.7500  1 Cr 1.79
Cr: 0.5000 0.5643 0.0000  1 Cr 1.79
Cr: 0.5000 0.4357 0.0000  1 Cr 1.79
Cr: 0.7500 0.1857 0.2500  1 Cr 1.79
Cr: 0.7500 0.3143 0.2500  1 Cr 1.79

The theoretical density is 3.219 Mg/m³. The value obtained for the energy above the most stable polymorph in this dataset is 294 meV per atom.

***

What is the formula in the first record? Ca5Cr